Compound: MnSiP2O
Source: Alexandria via LeMat-Bulk
Functional: GGA+U
Structure: optimized geometry

The space group is P4/mmm (No. 123) and the conventional cell measures 4.885, 4.885 and 3.236 Å, with angles of 90.00, 90.00 and 90.00 degrees. The asymmetric unit holds Mn at (0.000, 0.000, 0.000), Si at (0.500, 0.500, 0.500), P at (0.000, 0.500, 0.500) and O at (0.500, 0.500, 0.000).

For the magnetization, the calculation gives 4.368 μB per cell. As for the volume: 15.45 Å³/atom. The value obtained for the density of states at the Fermi level is 1.81 states/eV/cell. As for the total energy: -29.82 eV per cell. As for the energy relative to the lowest polymorph listed for this composition: 0 meV per atom.